{
  "formula": "Mn2CoNi",
  "functional": "SCAN",
  "state": "single point on PBEsol structure",
  "lattice_angstrom": [[-1.740, 1.740, 3.530], [1.740, -1.740, 3.530], [1.740, 1.740, -3.530]],
  "species": ["Mn", "Mn", "Co", "Ni"],
  "frac_coords": [[0.000, 0.000, 0.000], [0.750, 0.250, 0.500], [0.250, 0.750, 0.500], [0.500, 0.500, 0.000]],
  "final_energy_ev_per_atom": -17.71,
  "formation_energy_kj_per_mol_atoms": -20.15
}



{
  "formula": "Mn3Co2O8",
  "functional": "SCAN",
  "state": "single point on PBEsol structure",
  "lattice_angstrom": [[5.663, 0.000, 0.000], [0.000, 4.860, 0.000], [0.000, 0.000, 9.082]],
  "species": ["Mn", "Mn", "Mn", "Mn", "Mn", "Mn", "Co", "Co", "Co", "Co", "O", "O", "O", "O", "O", "O", "O", "O", "O", "O", "O", "O", "O", "O", "O", "O"],
  "frac_coords": [[0.000, 0.173, 0.000], [0.240, 0.340, 0.498], [0.260, 0.660, 0.998], [0.500, 0.827, 0.500], [0.740, 0.660, 0.998], [0.760, 0.340, 0.498], [0.000, 0.833, 0.290], [0.000, 0.840, 0.680], [0.500, 0.160, 0.180], [0.500, 0.167, 0.790], [0.000, 0.181, 0.390], [0.000, 0.479, 0.615], [0.000, 0.505, 0.109], [0.000, 0.836, 0.888], [0.221, 0.978, 0.126], [0.245, 0.334, 0.891], [0.255, 0.666, 0.391], [0.279, 0.022, 0.626], [0.500, 0.164, 0.388], [0.500, 0.495, 0.609], [0.500, 0.521, 0.115], [0.500, 0.819, 0.890], [0.721, 0.022, 0.626], [0.745, 0.666, 0.391], [0.755, 0.334, 0.891], [0.779, 0.978, 0.126]],
  "final_energy_ev_per_atom": -12.59
}